## LaZn2SeS (PBE)

Data for a geometry-optimized LaZn2SeS structure.

a b c (Å): 4.6917 4.6917 5.3434
angles (deg): 90.00 90.00 90.00
Space group P4/mmm (No. 123)
One atom of each set of equivalent atoms:
La1 0.0000 0.0000 0.0000 x1
Zn1 0.0000 0.5000 0.5000 x2
Se1 0.5000 0.5000 0.0000 x1
S1 0.5000 0.5000 0.5000 x1

**Uncorrected energy**: -3.2126 eV per atom